Compound: Ti2SnPt9
Source: the Alexandria database
Functional: GGA-PBE
Structure: relaxed

abc: 3.9819 3.9819 11.9827
angles: 90.00 90.00 90.00
Closest atoms and distances in Å follow each position.
Fractional coordinates of all 12 atoms:
Ti: 0.0000 0.0000 0.3356  12 Pt 2.75-2.82
Ti: 0.0000 0.0000 0.6644  12 Pt 2.75-2.82
Sn: 0.0000 0.0000 0.0000  12 Pt 2.82-2.91
Pt: 0.5000 0.5000 0.0000  4 Sn 2.82, 8 Pt 2.91
Pt: 0.5000 0.5000 0.3376  8 Pt 2.76-2.78, 4 Ti 2.82
Pt: 0.5000 0.5000 0.6624  8 Pt 2.76-2.78, 4 Ti 2.82
Pt: 0.5000 0.0000 0.1776  2 Ti 2.75, 8 Pt 2.76-2.91, 2 Sn 2.91
Pt: 0.5000 0.0000 0.5000  8 Pt 2.78-2.82, 4 Ti 2.80
Pt: 0.5000 0.0000 0.8224  2 Ti 2.75, 8 Pt 2.76-2.91, 2 Sn 2.91
Pt: 0.0000 0.5000 0.1776  2 Ti 2.75, 8 Pt 2.76-2.91, 2 Sn 2.91
Pt: 0.0000 0.5000 0.5000  8 Pt 2.78-2.82, 4 Ti 2.80
Pt: 0.0000 0.5000 0.8224  2 Ti 2.75, 8 Pt 2.76-2.91, 2 Sn 2.91

***

Compound: Ti6SnPt
Source: the Alexandria database
Functional: GGA-PBE
Structure: relaxed

Output
- Offset from the most stable computed form: 2.01 eV per formula unit

abc: 6.1453 6.1453 5.2738
angles: 115.23 115.23 102.30
Closest atoms and distances in Å follow each position.
Fractional coordinates of all 8 atoms:
Ti: 0.2540 0.2540 0.7542  6 Ti 2.78-2.97, 2 Pt 2.98-2.99, 2 Sn 2.99-3.01
Ti: 0.7370 0.2627 0.2498  1 Pt 2.63, 4 Ti 2.64-2.84, 1 Sn 2.84
Ti: 0.7460 0.7460 0.2458  6 Ti 2.78-2.97, 2 Pt 2.98-2.99, 2 Sn 2.99-3.01
Ti: 0.7373 0.2630 0.7502  1 Pt 2.63, 4 Ti 2.64-2.84, 1 Sn 2.84
Ti: 0.2630 0.7373 0.7502  1 Pt 2.63, 4 Ti 2.64-2.84, 1 Sn 2.84
Ti: 0.2627 0.7370 0.2498  1 Pt 2.63, 4 Ti 2.64-2.84, 1 Sn 2.84
Sn: 0.0000 0.0000 0.0000  2 Pt 2.83, 8 Ti 2.84-3.01
Pt: 0.5000 0.5000 0.5000  4 Ti 2.63, 2 Sn 2.83

***

Compound: Ti3SnPt
Source: the Alexandria database
Functional: GGA-PBE
Structure: relaxed

Output
- Offset from the most stable computed form: 0.00 eV per formula unit

abc: 4.7446 5.5583 7.8504
angles: 89.09 90.00 115.26
Closest atoms and distances in Å follow each position.
Fractional coordinates of all 10 atoms:
Ti: 0.0433 0.0867 0.1806  2 Pt 2.54-2.58, 2 Sn 2.79, 1 Ti 2.80
Ti: 0.9567 0.9133 0.8194  2 Pt 2.54-2.58, 2 Sn 2.79, 1 Ti 2.80
Ti: 0.6728 0.3456 0.7668  3 Pt 2.65-2.84, 1 Ti 2.89, 1 Sn 2.93
Ti: 0.3272 0.6544 0.2332  3 Pt 2.65-2.84, 1 Ti 2.89, 1 Sn 2.93
Ti: 0.8672 0.7344 0.4615  6 Ti 2.75-3.07, 3 Sn 2.81-2.82, 1 Pt 3.03
Ti: 0.1328 0.2656 0.5385  6 Ti 2.75-3.07, 3 Sn 2.81-2.82, 1 Pt 3.03
Sn: 0.3970 0.7940 0.6510  6 Ti 2.79-2.93, 1 Pt 2.86, 1 Sn 3.12
Sn: 0.6030 0.2060 0.3490  6 Ti 2.79-2.93, 1 Pt 2.86, 1 Sn 3.12
Pt: 0.1974 0.3947 0.9144  5 Ti 2.54-2.84
Pt: 0.8026 0.6053 0.0856  5 Ti 2.54-2.84

***

Compound: TiSnPt2
Source: the Alexandria database
Functional: GGA-PBE
Structure: relaxed

abc: 3.3930 3.3930 6.1013
angles: 90.00 90.00 90.00
Closest atoms and distances in Å follow each position.
Fractional coordinates of all 4 atoms:
Sn: 0.5000 0.5000 0.5000  8 Pt 2.95, 2 Ti 3.05
Pt: 0.0000 0.0000 0.7803  1 Pt 2.68, 4 Ti 2.75, 4 Sn 2.95
Pt: 0.0000 0.0000 0.2197  1 Pt 2.68, 4 Ti 2.75, 4 Sn 2.95
Ti: 0.5000 0.5000 0.0000  8 Pt 2.75, 2 Sn 3.05

***

Compound: Ti12Sn3Pt
Source: the Alexandria database
Functional: GGA-PBE
Structure: relaxed

abc: 5.1768 5.1915 10.3564
angles: 90.00 90.00 90.00
Closest atoms and distances in Å follow each position.
Fractional coordinates of all 16 atoms:
Ti: 0.5000 0.0000 0.3807  2 Ti 2.47-2.63
Ti: 0.5000 0.0000 0.8730  2 Ti 2.63, 4 Sn 2.89-2.90
Ti: 0.7487 0.5000 0.0000  2 Ti 2.57-2.60
Ti: 0.7591 0.5000 0.5000  2 Ti 2.49-2.68
Ti: 0.0000 0.7553 0.2605  2 Ti 2.54-2.65, 1 Pt 2.79
Ti: 0.0000 0.7553 0.7395  2 Ti 2.54-2.65, 1 Pt 2.79
Ti: 0.5000 0.0000 0.1270  2 Ti 2.63, 4 Sn 2.89-2.90
Ti: 0.5000 0.0000 0.6193  2 Ti 2.47-2.63
Ti: 0.2513 0.5000 0.0000  2 Ti 2.57-2.60
Ti: 0.2409 0.5000 0.5000  2 Ti 2.49-2.68
Ti: 0.0000 0.2447 0.2605  2 Ti 2.54-2.65, 1 Pt 2.79
Ti: 0.0000 0.2447 0.7395  2 Ti 2.54-2.65, 1 Pt 2.79
Sn: 0.5000 0.5000 0.2506  12 Ti 2.89-2.92
Sn: 0.5000 0.5000 0.7494  12 Ti 2.89-2.92
Sn: 0.0000 0.0000 0.0000  12 Ti 2.90-2.98
Pt: 0.0000 0.0000 0.5000  12 Ti 2.79-2.88

***

Compound: TiSn2Pt
Source: the Alexandria database
Functional: GGA-PBE
Structure: relaxed

Output
- Offset from the most stable computed form: 0.25 eV per formula unit

abc: 7.5958 7.5958 6.1337
angles: 51.74 51.74 90.00
Closest atoms and distances in Å follow each position.
Fractional coordinates of all 8 atoms:
Sn: 0.6504 0.1250 0.2500  2 Pt 2.66, 2 Ti 2.92
Sn: 0.0996 0.6250 0.2500  2 Pt 2.66, 2 Ti 2.92
Sn: 0.3750 0.3496 0.7500  2 Pt 2.66, 2 Ti 2.92
Sn: 0.8750 0.9004 0.7500  2 Pt 2.66, 2 Ti 2.92
Pt: 0.0000 0.0000 0.0000  4 Sn 2.66, 2 Ti 2.96
Pt: 0.7500 0.2500 0.5000  4 Sn 2.66, 2 Ti 2.96
Ti: 0.5000 0.5000 0.0000  4 Sn 2.92, 2 Pt 2.96
Ti: 0.2500 0.7500 0.5000  4 Sn 2.92, 2 Pt 2.96

***

Computed E_form, in the same sequence as the records: -723; -129; -356; -671; -389; -104 meV per atom.
Computed magnetization, in the same sequence as the records: 0.00; 0.00; 0.00; 0.00; 0.00; 0.00 μB per cell.